Here is a geometry-optimized La2GeBr structure from Alexandria. Energies are from GGA-PBE.

Lattice parameters (Å, degrees): 7.710 7.710 7.710 33.38 33.38 33.38
Atoms (fractional coordinates):
La 0.240 0.240 0.240
La 0.760 0.760 0.760
Ge 0.500 0.500 0.500
Br 0.000 0.000 0.000

Calculated values
As for the space-group type: R-3m. For the energy above the most stable polymorph in this dataset, the calculation gives 0 kJ/mol of formula units. As for the total moment: 0.00 μB/f.u. The calculation puts the formation energy (no corrections) at -118.98 kJ per mole of atoms.

---

Here is a geometry-optimized BaTl4Cd2 structure from Alexandria. Energies are from GGA-PBE.

Lattice parameters (Å, degrees): 9.078 9.078 5.060 90.00 90.00 147.79
Atoms (fractional coordinates):
Ba 0.000 0.000 0.000
Tl 0.185 0.815 0.500
Tl 0.313 0.687 0.000
Tl 0.687 0.313 0.000
Tl 0.815 0.185 0.500
Cd 0.419 0.581 0.500
Cd 0.581 0.419 0.500

Calculated values
As for the space-group type: Cmmm. For the energy above the most stable polymorph in this dataset, the calculation gives 0 kJ/mol of formula units. The energy of formation from the pure elements comes out at -102 kJ/mol of formula units. As for the total moment: 0.00 μB/f.u.

---

Here is a geometry-optimized Ag3BiSe structure from Alexandria. Energies are from GGA-PBE.

Lattice parameters (Å, degrees): 5.083 5.083 5.083 90.00 90.00 90.00
Atoms (fractional coordinates):
Ag 0.000 0.000 0.500
Ag 0.000 0.500 0.000
Ag 0.500 0.000 0.000
Bi 0.500 0.500 0.500
Se 0.000 0.000 0.000

Calculated values
As for the space-group type: Pm-3m. As for the total moment: 0.00 μB/f.u. The calculation puts the formation energy (no corrections) at 35.78 kJ per mole of atoms.

---

Here is a geometry-optimized TcMo2Pb structure from Alexandria. Energies are from GGA-PBE.

Lattice parameters (Å, degrees): 4.611 4.611 3.258 90.00 90.00 90.00
Atoms (fractional coordinates):
Tc 0.000 0.000 0.000
Mo 0.000 0.500 0.500
Mo 0.500 0.000 0.500
Pb 0.500 0.500 0.000

Calculated values
As for the space-group type: P4/mmm. The energy of formation from the pure elements comes out at 288 kJ/mol of formula units. As for the total moment: 0.01 μB/f.u.

---

Here is a geometry-optimized Tb3Y4Ag structure from Alexandria. Energies are from GGA-PBE.

Lattice parameters (Å, degrees): 3.565 3.565 19.059 90.00 90.00 90.00
Atoms (fractional coordinates):
Tb 0.000 0.000 0.000
Tb 0.000 0.000 0.265
Tb 0.000 0.000 0.735
Y 0.500 0.500 0.133
Y 0.500 0.500 0.400
Y 0.500 0.500 0.600
Y 0.500 0.500 0.867
Ag 0.000 0.000 0.500

Calculated values
As for the space-group type: P4/mmm. The energy of formation from the pure elements comes out at -44 kJ/mol of formula units. As for the total moment: 0.00 μB/f.u.

---

Here is a geometry-optimized Sc5Tl2Ge2 structure from Alexandria. Energies are from GGA-PBE.

Lattice parameters (Å, degrees): 8.322 8.322 7.291 90.00 90.00 52.37
Atoms (fractional coordinates):
Sc 0.000 0.000 0.000
Sc 0.050 0.705 0.670
Sc 0.205 0.550 0.170
Sc 0.295 0.950 0.670
Sc 0.450 0.795 0.170
Sc 0.500 0.500 0.500
Sc 0.550 0.205 0.830
Sc 0.705 0.050 0.330
Sc 0.795 0.450 0.830
Sc 0.950 0.295 0.330
Tl 0.218 0.218 0.000
Tl 0.282 0.282 0.500
Tl 0.718 0.718 0.500
Tl 0.782 0.782 0.000
Ge 0.134 0.866 0.364
Ge 0.366 0.634 0.864
Ge 0.634 0.366 0.136
Ge 0.866 0.134 0.636

Calculated values
As for the space-group type: Cmce. The energy of formation from the pure elements comes out at -495 kJ/mol of formula units. As for the total moment: 0.00 μB/f.u.

---

Here is a geometry-optimized AcY3Tl3 structure from Alexandria. Energies are from GGA-PBE.

Lattice parameters (Å, degrees): 9.724 9.724 5.314 90.00 90.00 120.00
Atoms (fractional coordinates):
Ac 0.333 0.667 0.250
Ac 0.667 0.333 0.750
Y 0.006 0.771 0.750
Y 0.229 0.235 0.750
Y 0.235 0.006 0.250
Y 0.765 0.994 0.750
Y 0.771 0.765 0.250
Y 0.994 0.229 0.250
Tl 0.067 0.442 0.750
Tl 0.375 0.933 0.750
Tl 0.442 0.375 0.250
Tl 0.558 0.625 0.750
Tl 0.625 0.067 0.250
Tl 0.933 0.558 0.250

Calculated values
As for the space-group type: P6_3/m. The energy of formation from the pure elements comes out at -185 kJ/mol of formula units. As for the total moment: 0.00 μB/f.u.

---

Here is a geometry-optimized CeDy4Tm3Se8 structure from Alexandria. Energies are from GGA-PBE.

Lattice parameters (Å, degrees): 8.134 8.134 8.134 60.03 60.03 60.03
Atoms (fractional coordinates):
Ce 0.000 0.000 0.000
Dy 0.000 0.000 0.500
Dy 0.000 0.500 0.000
Dy 0.500 0.000 0.000
Dy 0.500 0.500 0.500
Tm 0.000 0.500 0.500
Tm 0.500 0.000 0.500
Tm 0.500 0.500 0.000
Se 0.252 0.252 0.252
Se 0.253 0.253 0.743
Se 0.253 0.743 0.253
Se 0.257 0.747 0.747
Se 0.743 0.253 0.253
Se 0.747 0.257 0.747
Se 0.747 0.747 0.257
Se 0.748 0.748 0.748

Calculated values
As for the space-group type: R-3m. As for the total moment: 0.54 μB/f.u. The calculation puts the formation energy (no corrections) at -166.24 kJ per mole of atoms.

---

Here is a geometry-optimized MgCdGa2 structure from Alexandria. Energies are from GGA-PBE.

Lattice parameters (Å, degrees): 4.878 4.878 6.651 122.14 122.14 39.82
Atoms (fractional coordinates):
Mg 0.000 0.000 0.000
Cd 0.761 0.761 0.469
Ga 0.372 0.372 0.218
Ga 0.618 0.618 0.760

Calculated values
As for the space-group type: Cm. For the energy above the most stable polymorph in this dataset, the calculation gives 20 kJ/mol of formula units. The energy of formation from the pure elements comes out at -2 kJ/mol of formula units. As for the total moment: 0.00 μB/f.u.

---

Here is a geometry-optimized La4ErSc structure from Alexandria. Energies are from GGA-PBE.

Lattice parameters (Å, degrees): 7.917 7.917 5.199 90.00 90.00 141.69
Atoms (fractional coordinates):
La 0.162 0.838 0.000
La 0.336 0.664 0.500
La 0.664 0.336 0.500
La 0.838 0.162 0.000
Er 0.500 0.500 0.000
Sc 0.000 0.000 0.500

Calculated values
As for the space-group type: Cmmm. The energy of formation from the pure elements comes out at 31 kJ/mol of formula units. As for the total moment: 0.00 μB/f.u.

---

Here is a geometry-optimized In4PdBr2 structure from Alexandria. Energies are from GGA-PBE.

Lattice parameters (Å, degrees): 9.199 9.199 9.199 146.87 146.87 47.55
Atoms (fractional coordinates):
In 0.000 0.500 0.500
In 0.161 0.161 0.000
In 0.500 0.000 0.500
In 0.839 0.839 0.000
Pd 0.000 0.000 0.000
Br 0.349 0.349 0.000
Br 0.651 0.651 0.000

Calculated values
As for the space-group type: I4/mmm. As for the total moment: 0.00 μB/f.u. The calculation puts the formation energy (no corrections) at -38.68 kJ per mole of atoms.